1.
This record from Alexandria via LeMat-Bulk describes a relaxed Nb2V2Pb crystal. The functional is GGA-PBE.

Structure (extended XYZ):
```
10
Lattice="7.227 0.000 0.000 0.000 7.227 0.000 0.000 0.000 3.402" Properties=species:S:1:pos:R:3 pbc="T T T"
Nb 1.384 2.230 0.000
Nb 2.230 5.843 0.000
Nb 4.997 1.384 0.000
Nb 5.843 4.997 0.000
V 0.760 4.373 1.701
V 2.854 0.760 1.701
V 4.373 6.467 1.701
V 6.467 2.854 1.701
Pb 0.000 0.000 1.701
Pb 3.613 3.613 1.701
```

## Properties
The value obtained for the mass density is 9.25 g/cm³. The total energy is -40.7 eV/f.u. The calculated volume comes out at 177.7 Å³ per cell. Its symmetry is P4/mbm. The magnetization is 0.000 μB/f.u.

=====

2.
This record from Alexandria via LeMat-Bulk describes a relaxed HoU2Cr2C4 crystal. The functional is GGA-PBE.

Structure (extended XYZ):
```
9
Lattice="6.506 -1.606 0.000 6.506 1.606 0.000 -1.785 0.000 5.640" Properties=species:S:1:pos:R:3 pbc="T T T"
Ho 0.000 0.000 0.000
U 0.713 0.000 3.023
U 10.514 0.000 2.617
Cr 2.337 0.000 5.592
Cr 8.890 0.000 0.048
C 2.565 0.000 1.293
C 5.409 0.000 1.474
C 5.819 0.000 4.166
C 8.662 0.000 4.347
```

## Properties
The value obtained for the mass density is 11.17 g/cm³. The total energy is -83.5 eV/f.u. The calculated volume comes out at 117.9 Å³ per cell. Its symmetry is C2/m. The magnetization is 2.403 μB/f.u.

=====

3.
This record from Alexandria via LeMat-Bulk describes a relaxed Al2TlSe crystal. The functional is GGA-PBE.

Structure (extended XYZ):
```
4
Lattice="3.487 0.000 0.000 0.000 3.487 0.000 0.000 0.000 7.368" Properties=species:S:1:pos:R:3 pbc="T T T"
Al 0.000 0.000 1.452
Al 0.000 0.000 5.916
Tl 1.743 1.743 3.684
Se 1.743 1.743 0.000
```

## Properties
The value obtained for the mass density is 6.25 g/cm³. The calculated volume comes out at 89.6 Å³ per cell. Its symmetry is P4/mmm. The magnetization is 0.000 μB/f.u. The polymorph energy (0 for the lowest one) comes out at 169 meV per atom.

=====

4.
This record from Alexandria via LeMat-Bulk describes a relaxed BeTlRu2 crystal. The functional is GGA-PBE.

Structure (extended XYZ):
```
8
Lattice="3.158 0.000 0.000 0.000 4.846 0.000 0.000 0.000 7.882" Properties=species:S:1:pos:R:3 pbc="T T T"
Be 0.000 0.000 0.000
Be 1.579 2.423 0.000
Tl 0.000 0.000 3.941
Tl 1.579 2.423 3.941
Ru 0.000 2.423 1.570
Ru 0.000 2.423 6.312
Ru 1.579 0.000 1.570
Ru 1.579 0.000 6.312
```

## Properties
The value obtained for the mass density is 11.44 g/cm³. The calculated volume comes out at 120.6 Å³ per cell. Its symmetry is Cmmm. The magnetization is 0.318 μB/f.u. The polymorph energy (0 for the lowest one) comes out at 211 meV per atom.

=====

5.
This record from Alexandria via LeMat-Bulk describes a relaxed TaCu2W crystal. The functional is GGA-PBE.

Structure (extended XYZ):
```
8
Lattice="3.476 0.000 0.000 0.000 4.165 0.000 0.000 0.000 8.150" Properties=species:S:1:pos:R:3 pbc="T T T"
Ta 0.000 0.000 0.000
Ta 1.738 2.082 0.000
Cu 0.000 0.000 3.842
Cu 0.000 2.082 2.057
Cu 1.738 0.000 2.057
Cu 1.738 2.082 3.842
W 0.000 2.082 5.825
W 1.738 0.000 5.825
```

## Properties
The value obtained for the mass density is 13.85 g/cm³. The calculated volume comes out at 118.0 Å³ per cell. Its symmetry is Cmm2. The magnetization is 0.000 μB/f.u. The polymorph energy (0 for the lowest one) comes out at 0 meV per atom.

=====

6.
This record from Alexandria via LeMat-Bulk describes a relaxed Rb2BaLaY crystal. The functional is GGA-PBE.

Structure (extended XYZ):
```
5
Lattice="6.617 0.000 0.000 0.000 6.617 0.000 0.000 0.000 6.361" Properties=species:S:1:pos:R:3 pbc="T T T"
Rb 0.000 3.308 0.000
Rb 3.308 0.000 0.000
Ba 0.000 0.000 0.000
La 0.000 0.000 3.180
Y 3.308 3.308 3.180
```

## Properties
The value obtained for the mass density is 3.20 g/cm³. The total energy is -9.7 eV/f.u. The calculated volume comes out at 278.5 Å³ per cell. Its symmetry is P4/mmm. The magnetization is 2.360 μB/f.u.

=====

7.
This record from Alexandria via LeMat-Bulk describes a relaxed PmSmHo2 crystal. The functional is GGA-PBE.

Structure (extended XYZ):
```
16
Lattice="13.172 0.000 0.000 0.000 3.558 0.000 -0.706 0.000 11.437" Properties=species:S:1:pos:R:3 pbc="T T T"
Pm 1.378 0.000 5.684
Pm 4.502 1.779 5.753
Pm 7.964 1.779 5.684
Pm 11.088 0.000 5.753
Sm 1.736 1.779 0.222
Sm 4.143 0.000 11.215
Sm 8.322 0.000 0.222
Sm 10.729 1.779 11.215
Ho -0.415 0.000 8.876
Ho 2.548 1.779 8.533
Ho 3.331 0.000 2.904
Ho 6.294 1.779 2.562
Ho 6.171 1.779 8.876
Ho 9.134 0.000 8.533
Ho 9.917 1.779 2.904
Ho 12.880 0.000 2.562
```

## Properties
The value obtained for the mass density is 7.75 g/cm³. The calculated volume comes out at 536.0 Å³ per cell. Its symmetry is C2/m. The magnetization is 0.000 μB/f.u. The polymorph energy (0 for the lowest one) comes out at 110 meV per atom.

=====

8.
This record from Alexandria via LeMat-Bulk describes a relaxed TaMoRu2 crystal. The functional is GGA-PBE.

Structure (extended XYZ):
```
4
Lattice="4.084 0.000 0.000 0.000 4.084 0.000 0.000 0.000 3.709" Properties=species:S:1:pos:R:3 pbc="T T T"
Ta 0.000 0.000 0.000
Mo 2.042 2.042 0.000
Ru 0.000 2.042 1.855
Ru 2.042 0.000 1.855
```

## Properties
The value obtained for the mass density is 12.86 g/cm³. The calculated volume comes out at 61.9 Å³ per cell. Its symmetry is P4/mmm. The magnetization is 0.000 μB/f.u. The polymorph energy (0 for the lowest one) comes out at 2 meV per atom.